PBE Ac2AlAu, optimized geometry; crystal system = orthorhombic; calculated density = 9.0 Mg/m³; formation energy from the elements = -0.51 eV per atom
1.0
4.5994 0.0000 0.0000
0.0000 2.4635 5.5250
0.0000 -2.4635 5.5250
Ac Al Au
2 1 1
Direct
0.0000 0.0000 0.0000 Ac
0.5000 0.2932 0.2932 Ac
0.0000 0.7035 0.7035 Al
0.5000 0.5840 0.5840 Au